No. 1
Below is a relaxed Nd2SmCo crystal, with properties calculated at the PBE level.

a b c (Å): 10.727 10.727 10.727
angles (deg): 19.82 19.82 19.82
Fractional positions:
Nd 0.113 0.113 0.113
Nd 0.887 0.887 0.887
Sm 0.000 0.000 0.000
Co 0.500 0.500 0.500

Summary:
D(E_F) in states/eV/f.u.: 6.35
Formation energy in eV per atom: 0.2173
Offset from the most stable computed form in eV per atom: 0.289
ρ in g/cm³: 6.66

No. 2
Below is a relaxed Nd2SmCo2 crystal, with properties calculated at the PBE level.

a b c (Å): 6.313 6.313 7.403
angles (deg): 100.82 100.82 58.03
Fractional positions:
Nd 0.051 0.265 0.149
Nd 0.265 0.051 0.649
Nd 0.735 0.949 0.351
Nd 0.949 0.735 0.851
Sm 0.425 0.575 0.250
Sm 0.575 0.425 0.750
Co 0.184 0.477 0.482
Co 0.477 0.184 0.982
Co 0.523 0.816 0.018
Co 0.816 0.523 0.518

Summary:
D(E_F) in states/eV/f.u.: 5.14
Formation energy in eV per atom: -0.0617
Offset from the most stable computed form in eV per atom: 0.000
ρ in g/cm³: 7.56

No. 3
Below is a relaxed NdSm3Co crystal, with properties calculated at the PBE level.

a b c (Å): 5.409 5.409 5.409
angles (deg): 90.00 90.00 90.00
Fractional positions:
Nd 0.000 0.000 0.000
Sm 0.000 0.500 0.500
Sm 0.500 0.000 0.500
Sm 0.500 0.500 0.000
Co 0.500 0.500 0.500

Summary:
D(E_F) in states/eV/f.u.: 7.92
Formation energy in eV per atom: 0.0503
Offset from the most stable computed form in eV per atom: 0.115
ρ in g/cm³: 6.87

No. 4
Below is a relaxed Nd2SmCo crystal, with properties calculated at the PBE level.

a b c (Å): 7.099 9.913 6.380
angles (deg): 90.00 90.00 90.00
Fractional positions:
Nd 0.172 0.070 0.176
Nd 0.172 0.430 0.176
Nd 0.328 0.570 0.676
Nd 0.328 0.930 0.676
Nd 0.672 0.070 0.324
Nd 0.672 0.430 0.324
Nd 0.828 0.570 0.824
Nd 0.828 0.930 0.824
Sm 0.044 0.250 0.651
Sm 0.456 0.750 0.151
Sm 0.544 0.250 0.849
Sm 0.956 0.750 0.349
Co 0.117 0.750 0.944
Co 0.383 0.250 0.444
Co 0.617 0.750 0.556
Co 0.883 0.250 0.056

Summary:
D(E_F) in states/eV/f.u.: 5.20
Formation energy in eV per atom: -0.0717
Offset from the most stable computed form in eV per atom: 0.000
ρ in g/cm³: 7.36

| no. | calculated volume (A^3/atom) |
| --- | --- |
| 1 | 31.043 |
| 2 | 24.447 |
| 3 | 31.644 |
| 4 | 28.062 |